[1]
Compound: PaTl2Se3
Source: Alexandria
Functional: PBE-GGA
Structure: relaxed

Results
Formation energy without anion corrections, eV per atom: -0.8598
Energy, eV per atom: -4.9735
Density of states at the Fermi level, states/eV per cell: 4.9
Calculated density, Mg/m³: 7.09
Crystal system: orthorhombic
Calculated volume, A^3/atom: 34.2
Magnetic moment, μB per atom: 0.15

Lattice parameters (Å, degrees): 8.6022 8.6022 4.1951 90.00 90.00 138.57
Last column: nearest neighbours and their distance in Å.
Positions (direct):
Pa (0.0000, 0.0000, 0.0000)  6 Se 2.83-3.04
Tl (0.3470, 0.6530, 0.5000)  4 Se 3.09-3.23
Tl (0.6530, 0.3470, 0.5000)  4 Se 3.09-3.23
Se (0.1180, 0.8820, 0.5000)  2 Pa 2.83, 2 Tl 3.09
Se (0.5000, 0.5000, 0.0000)  2 Pa 3.04, 4 Tl 3.23
Se (0.8820, 0.1180, 0.5000)  2 Pa 2.83, 2 Tl 3.09


[2]
Compound: Pa3Tl5Se12
Source: Alexandria
Functional: PBE-GGA
Structure: relaxed

Results
Formation energy without anion corrections, eV per atom: -0.6160
Energy, eV per atom: -4.7227
Density of states at the Fermi level, states/eV per cell: 51.5
Calculated density, Mg/m³: 7.37
Crystal system: cubic
Calculated volume, A^3/atom: 30.0
Magnetic moment, μB per atom: 0.00

Lattice parameters (Å, degrees): 14.6101 14.6101 14.6101 109.47 109.47 109.47
Last column: nearest neighbours and their distance in Å.
Positions (direct):
Pa (0.1250, 0.2500, 0.3750)  8 Se 3.00-3.07
Pa (0.1250, 0.3750, 0.7500)  8 Se 3.00-3.07
Pa (0.2500, 0.3750, 0.1250)  8 Se 3.00-3.07
Pa (0.2500, 0.8750, 0.6250)  8 Se 3.00-3.07
Pa (0.3750, 0.1250, 0.2500)  8 Se 3.00-3.07
Pa (0.3750, 0.7500, 0.1250)  8 Se 3.00-3.07
Pa (0.6250, 0.2500, 0.8750)  8 Se 3.00-3.07
Pa (0.6250, 0.8750, 0.7500)  8 Se 3.00-3.07
Pa (0.7500, 0.1250, 0.3750)  8 Se 3.00-3.07
Pa (0.7500, 0.6250, 0.8750)  8 Se 3.00-3.07
Pa (0.8750, 0.6250, 0.2500)  8 Se 3.00-3.07
Pa (0.8750, 0.7500, 0.6250)  8 Se 3.00-3.07
Tl (0.0000, 0.0000, 0.0000)  6 Se 2.94
Tl (0.0000, 0.0000, 0.5000)  6 Se 2.94
Tl (0.0000, 0.5000, 0.0000)  6 Se 2.94
Tl (0.0000, 0.5000, 0.5000)  6 Se 2.94
Tl (0.1250, 0.7500, 0.8750)  4 Se 2.79
Tl (0.1250, 0.8750, 0.2500)  4 Se 2.79
Tl (0.2500, 0.1250, 0.8750)  4 Se 2.79
Tl (0.2500, 0.6250, 0.3750)  4 Se 2.79
Tl (0.3750, 0.2500, 0.6250)  4 Se 2.79
Tl (0.3750, 0.6250, 0.7500)  4 Se 2.79
Tl (0.5000, 0.0000, 0.0000)  6 Se 2.94
Tl (0.5000, 0.0000, 0.5000)  6 Se 2.94
Tl (0.5000, 0.5000, 0.0000)  6 Se 2.94
Tl (0.5000, 0.5000, 0.5000)  6 Se 2.94
Tl (0.6250, 0.3750, 0.2500)  4 Se 2.79
Tl (0.6250, 0.7500, 0.3750)  4 Se 2.79
Tl (0.7500, 0.3750, 0.6250)  4 Se 2.79
Tl (0.7500, 0.8750, 0.1250)  4 Se 2.79
Tl (0.8750, 0.1250, 0.7500)  4 Se 2.79
Tl (0.8750, 0.2500, 0.1250)  4 Se 2.79
Se (0.0638, 0.2319, 0.1445)  2 Tl 2.79-2.94, 2 Pa 3.00-3.07, 1 Se 3.02
Se (0.0638, 0.3319, 0.9193)  2 Tl 2.79-2.94, 2 Pa 3.00-3.07, 1 Se 3.02
Se (0.0807, 0.6445, 0.4126)  2 Tl 2.79-2.94, 2 Pa 3.00-3.07, 1 Se 3.02
Se (0.0807, 0.9362, 0.6681)  2 Tl 2.79-2.94, 2 Pa 3.00-3.07, 1 Se 3.02
Se (0.0874, 0.7319, 0.6681)  2 Tl 2.79-2.94, 2 Pa 3.00-3.07, 1 Se 3.02
Se (0.0874, 0.8555, 0.4193)  2 Tl 2.79-2.94, 2 Pa 3.00-3.07, 1 Se 3.02
Se (0.1445, 0.0638, 0.2319)  2 Tl 2.79-2.94, 2 Pa 3.00-3.07, 1 Se 3.02
Se (0.1445, 0.5807, 0.9126)  2 Tl 2.79-2.94, 2 Pa 3.00-3.07, 1 Se 3.02
Se (0.1681, 0.2319, 0.5874)  2 Tl 2.79-2.94, 2 Pa 3.00-3.07, 1 Se 3.02
Se (0.1681, 0.4362, 0.5807)  2 Tl 2.79-2.94, 2 Pa 3.00-3.07, 1 Se 3.02
Se (0.2319, 0.1445, 0.0638)  2 Tl 2.79-2.94, 2 Pa 3.00-3.07, 1 Se 3.02
Se (0.2319, 0.5874, 0.1681)  2 Tl 2.79-2.94, 2 Pa 3.00-3.07, 1 Se 3.02
Se (0.2681, 0.3319, 0.9126)  2 Tl 2.79-2.94, 2 Pa 3.00-3.07, 1 Se 3.02
Se (0.2681, 0.4362, 0.3555)  2 Tl 2.79-2.94, 2 Pa 3.00-3.07, 1 Se 3.02
Se (0.3319, 0.9126, 0.2681)  2 Tl 2.79-2.94, 2 Pa 3.00-3.07, 1 Se 3.02
Se (0.3319, 0.9193, 0.0638)  2 Tl 2.79-2.94, 2 Pa 3.00-3.07, 1 Se 3.02
Se (0.3555, 0.2681, 0.4362)  2 Tl 2.79-2.94, 2 Pa 3.00-3.07, 1 Se 3.02
Se (0.3555, 0.5874, 0.9193)  2 Tl 2.79-2.94, 2 Pa 3.00-3.07, 1 Se 3.02
Se (0.4126, 0.0807, 0.6445)  2 Tl 2.79-2.94, 2 Pa 3.00-3.07, 1 Se 3.02
Se (0.4126, 0.8319, 0.7681)  2 Tl 2.79-2.94, 2 Pa 3.00-3.07, 1 Se 3.02
Se (0.4193, 0.0874, 0.8555)  2 Tl 2.79-2.94, 2 Pa 3.00-3.07, 1 Se 3.02
Se (0.4193, 0.8319, 0.5638)  2 Tl 2.79-2.94, 2 Pa 3.00-3.07, 1 Se 3.02
Se (0.4362, 0.3555, 0.2681)  2 Tl 2.79-2.94, 2 Pa 3.00-3.07, 1 Se 3.02
Se (0.4362, 0.5807, 0.1681)  2 Tl 2.79-2.94, 2 Pa 3.00-3.07, 1 Se 3.02
Se (0.5638, 0.4193, 0.8319)  2 Tl 2.79-2.94, 2 Pa 3.00-3.07, 1 Se 3.02
Se (0.5638, 0.6445, 0.7319)  2 Tl 2.79-2.94, 2 Pa 3.00-3.07, 1 Se 3.02
Se (0.5807, 0.1681, 0.4362)  2 Tl 2.79-2.94, 2 Pa 3.00-3.07, 1 Se 3.02
Se (0.5807, 0.9126, 0.1445)  2 Tl 2.79-2.94, 2 Pa 3.00-3.07, 1 Se 3.02
Se (0.5874, 0.1681, 0.2319)  2 Tl 2.79-2.94, 2 Pa 3.00-3.07, 1 Se 3.02
Se (0.5874, 0.9193, 0.3555)  2 Tl 2.79-2.94, 2 Pa 3.00-3.07, 1 Se 3.02
Se (0.6445, 0.4126, 0.0807)  2 Tl 2.79-2.94, 2 Pa 3.00-3.07, 1 Se 3.02
Se (0.6445, 0.7319, 0.5638)  2 Tl 2.79-2.94, 2 Pa 3.00-3.07, 1 Se 3.02
Se (0.6681, 0.0807, 0.9362)  2 Tl 2.79-2.94, 2 Pa 3.00-3.07, 1 Se 3.02
Se (0.6681, 0.0874, 0.7319)  2 Tl 2.79-2.94, 2 Pa 3.00-3.07, 1 Se 3.02
Se (0.7319, 0.5638, 0.6445)  2 Tl 2.79-2.94, 2 Pa 3.00-3.07, 1 Se 3.02
Se (0.7319, 0.6681, 0.0874)  2 Tl 2.79-2.94, 2 Pa 3.00-3.07, 1 Se 3.02
Se (0.7681, 0.4126, 0.8319)  2 Tl 2.79-2.94, 2 Pa 3.00-3.07, 1 Se 3.02
Se (0.7681, 0.8555, 0.9362)  2 Tl 2.79-2.94, 2 Pa 3.00-3.07, 1 Se 3.02
Se (0.8319, 0.5638, 0.4193)  2 Tl 2.79-2.94, 2 Pa 3.00-3.07, 1 Se 3.02
Se (0.8319, 0.7681, 0.4126)  2 Tl 2.79-2.94, 2 Pa 3.00-3.07, 1 Se 3.02
Se (0.8555, 0.4193, 0.0874)  2 Tl 2.79-2.94, 2 Pa 3.00-3.07, 1 Se 3.02
Se (0.8555, 0.9362, 0.7681)  2 Tl 2.79-2.94, 2 Pa 3.00-3.07, 1 Se 3.02
Se (0.9126, 0.1445, 0.5807)  2 Tl 2.79-2.94, 2 Pa 3.00-3.07, 1 Se 3.02
Se (0.9126, 0.2681, 0.3319)  2 Tl 2.79-2.94, 2 Pa 3.00-3.07, 1 Se 3.02
Se (0.9193, 0.0638, 0.3319)  2 Tl 2.79-2.94, 2 Pa 3.00-3.07, 1 Se 3.02
Se (0.9193, 0.3555, 0.5874)  2 Tl 2.79-2.94, 2 Pa 3.00-3.07, 1 Se 3.02
Se (0.9362, 0.6681, 0.0807)  2 Tl 2.79-2.94, 2 Pa 3.00-3.07, 1 Se 3.02
Se (0.9362, 0.7681, 0.8555)  2 Tl 2.79-2.94, 2 Pa 3.00-3.07, 1 Se 3.02


[3]
Compound: Pa2TlSe4
Source: Alexandria
Functional: PBE-GGA
Structure: relaxed

Results
Formation energy without anion corrections, eV per atom: -1.1149
Energy, eV per atom: -6.1572
Density of states at the Fermi level, states/eV per cell: 20.9
Calculated density, Mg/m³: 7.91
Crystal system: orthorhombic
Calculated volume, A^3/atom: 29.5
Magnetic moment, μB per atom: 0.31

Lattice parameters (Å, degrees): 7.2452 7.2452 14.2892 90.00 90.00 146.65
Last column: nearest neighbours and their distance in Å.
Positions (direct):
Pa (0.1314, 0.8686, 0.5617)  6 Se 2.81-2.90
Pa (0.1314, 0.8686, 0.9383)  6 Se 2.81-2.90
Pa (0.8686, 0.1314, 0.0617)  6 Se 2.81-2.90
Pa (0.8686, 0.1314, 0.4383)  6 Se 2.81-2.90
Tl (0.3990, 0.6010, 0.7500)  6 Se 3.19-3.42
Tl (0.6010, 0.3990, 0.2500)  6 Se 3.19-3.42
Se (0.0729, 0.9271, 0.7500)  2 Pa 2.81
Se (0.2354, 0.7646, 0.1116)  3 Pa 2.87
Se (0.2354, 0.7646, 0.3884)  3 Pa 2.87
Se (0.5000, 0.5000, 0.0000)  4 Pa 2.90
Se (0.5000, 0.5000, 0.5000)  4 Pa 2.90
Se (0.7646, 0.2354, 0.6116)  3 Pa 2.87
Se (0.7646, 0.2354, 0.8884)  3 Pa 2.87
Se (0.9271, 0.0729, 0.2500)  2 Pa 2.81


[4]
Compound: Pa6TlSe8
Source: Alexandria
Functional: PBE-GGA
Structure: relaxed

Results
Formation energy without anion corrections, eV per atom: -0.8842
Energy, eV per atom: -6.6987
Density of states at the Fermi level, states/eV per cell: 12.9
Calculated density, Mg/m³: 8.10
Crystal system: trigonal
Calculated volume, A^3/atom: 30.4
Magnetic moment, μB per atom: 0.00

Lattice parameters (Å, degrees): 7.6961 7.6961 7.6961 89.18 89.18 89.18
Last column: nearest neighbours and their distance in Å.
Positions (direct):
Pa (0.2234, 0.4497, 0.5972)  5 Se 2.85-3.07, 2 Pa 2.90
Pa (0.4028, 0.7766, 0.5503)  5 Se 2.85-3.07, 2 Pa 2.90
Pa (0.4497, 0.5972, 0.2234)  5 Se 2.85-3.07, 2 Pa 2.90
Pa (0.5503, 0.4028, 0.7766)  5 Se 2.85-3.07, 2 Pa 2.90
Pa (0.5972, 0.2234, 0.4497)  5 Se 2.85-3.07, 2 Pa 2.90
Pa (0.7766, 0.5503, 0.4028)  5 Se 2.85-3.07, 2 Pa 2.90
Tl (0.0000, 0.0000, 0.0000)  8 Se 3.49-3.71
Se (0.0947, 0.7318, 0.3560)  4 Pa 2.85-3.07
Se (0.2682, 0.6440, 0.9053)  4 Pa 2.85-3.07
Se (0.2746, 0.2746, 0.2746)  3 Pa 2.86
Se (0.3560, 0.0947, 0.7318)  4 Pa 2.85-3.07
Se (0.6440, 0.9053, 0.2682)  4 Pa 2.85-3.07
Se (0.7254, 0.7254, 0.7254)  3 Pa 2.86
Se (0.7318, 0.3560, 0.0947)  4 Pa 2.85-3.07
Se (0.9053, 0.2682, 0.6440)  4 Pa 2.85-3.07